Entry 1:
Below is LiHoMn after structural relaxation, with properties calculated at the GGA-PBE level.

Calculated values
- Electronic total energy: -4.90 eV per atom
- M_tot: 2.2 μB per formula unit
- Fermi-level density of states: 5.11 states/eV/cell

```
6
Lattice="-2.131 2.131 6.685 2.131 -2.131 6.685 2.131 2.131 -6.685" Properties=species:S:1:pos:R:3 pbc="T T T"
Li 0.000 0.000 1.509
Li 0.000 0.000 11.861
Ho 0.000 0.000 4.714
Ho 0.000 0.000 8.655
Mn 2.131 0.000 0.000
Mn 0.000 2.131 0.000
```

Entry 2:
Below is PmAgBi after structural relaxation, with properties calculated at the GGA-PBE level.

Calculated values
- E above lowest polymorph: 551.6 meV/atom
- Electronic total energy: -3.73 eV per atom
- M_tot: 0.0 μB per formula unit
- Fermi-level density of states: 3.06 states/eV/cell

```
3
Lattice="-1.654 1.654 8.457 1.654 -1.654 8.457 1.654 1.654 -8.457" Properties=species:S:1:pos:R:3 pbc="T T T"
Pm 0.000 0.000 0.000
Ag 0.000 0.000 3.020
Bi 0.000 0.000 5.997
```

Entry 3:
Below is LiFe2Se after structural relaxation, with properties calculated at the GGA-PBE level.

Calculated values
- Electronic total energy: -5.44 eV per atom
- M_tot: 5.3 μB per formula unit
- Fermi-level density of states: 2.53 states/eV/cell
- Formation energy from raw total energies: 0.14 eV per atom

```
4
Lattice="2.538 -4.543 0.000 2.538 4.543 0.000 -1.717 0.000 2.436" Properties=species:S:1:pos:R:3 pbc="T T T"
Li 0.000 0.000 0.000
Fe 1.269 2.272 0.000
Fe 1.269 -2.272 0.000
Se 2.538 0.000 0.000
```

Entry 4:
Below is Ac2SeNF after structural relaxation, with properties calculated at the GGA-PBE level.

Calculated values
- Electronic total energy: -6.72 eV per atom
- M_tot: 0.0 μB per formula unit
- Formation energy from raw total energies: -2.34 eV per atom

```
10
Lattice="7.102 -2.121 0.000 7.102 2.121 0.000 -6.140 0.000 8.293" Properties=species:S:1:pos:R:3 pbc="T T T"
Ac -1.089 0.000 2.731
Ac -0.791 0.000 7.603
Ac 8.855 0.000 0.691
Ac 9.152 0.000 5.562
Se 2.200 0.000 3.032
Se 5.863 0.000 5.261
N 1.519 0.000 6.784
N 6.545 0.000 1.509
F -3.531 0.000 7.708
F 11.594 0.000 0.586
```

Entry 5:
Below is Ac3CdB2N6 after structural relaxation, with properties calculated at the GGA-PBE level.

Calculated values
- Electronic total energy: -7.13 eV per atom
- M_tot: 0.0 μB per formula unit
- Fermi-level density of states: 6.69 states/eV/cell
- Formation energy from raw total energies: -0.75 eV per atom

```
12
Lattice="5.722 0.000 0.000 -2.861 4.955 0.000 0.000 0.000 6.662" Properties=species:S:1:pos:R:3 pbc="T T T"
Ac 0.000 0.000 0.000
Ac 0.000 3.303 4.457
Ac 2.861 1.652 2.205
Cd 0.000 0.000 3.331
B 0.000 3.303 1.721
B 2.861 1.652 4.940
N 0.000 1.845 1.814
N -1.263 4.033 1.814
N 1.598 0.923 4.848
N 1.263 4.033 1.814
N 4.124 0.923 4.848
N 2.861 3.110 4.848
```

Entry 6:
Below is CuReSb2Te after structural relaxation, with properties calculated at the GGA-PBE level.

Calculated values
- E above lowest polymorph: 0.0 meV/atom
- Electronic total energy: -4.63 eV per atom
- M_tot: 0.0 μB per formula unit
- Fermi-level density of states: 4.65 states/eV/cell
- Formation energy from raw total energies: 0.96 eV per atom

```
5
Lattice="5.158 0.000 0.000 0.000 5.158 0.000 0.000 0.000 5.292" Properties=species:S:1:pos:R:3 pbc="T T T"
Cu 0.000 0.000 0.000
Re 2.579 2.579 2.646
Sb 0.000 2.579 2.646
Sb 2.579 0.000 2.646
Te 2.579 2.579 0.000
```

Entry 7:
Below is AlCdAu5 after structural relaxation, with properties calculated at the GGA-PBE level.

Calculated values
- E above lowest polymorph: 30.0 meV/atom
- Electronic total energy: -3.19 eV per atom
- M_tot: 0.0 μB per formula unit
- Fermi-level density of states: 2.52 states/eV/cell

```
7
Lattice="4.261 0.000 0.000 0.000 4.261 0.000 0.000 0.000 7.258" Properties=species:S:1:pos:R:3 pbc="T T T"
Al 0.000 0.000 0.000
Cd 0.000 0.000 3.629
Au 0.000 2.131 1.517
Au 0.000 2.131 5.741
Au 2.131 0.000 1.517
Au 2.131 0.000 5.741
Au 2.131 2.131 3.629
```

Entry 8:
Below is Tb3CuNi after structural relaxation, with properties calculated at the GGA-PBE level.

Calculated values
- Electronic total energy: -4.97 eV per atom
- M_tot: 0.0 μB per formula unit
- Fermi-level density of states: 12.23 states/eV/cell

```
10
Lattice="5.088 -3.228 0.000 5.088 3.228 0.000 -3.039 0.000 7.207" Properties=species:S:1:pos:R:3 pbc="T T T"
Tb -0.641 0.000 1.723
Tb 1.113 0.000 4.810
Tb 2.736 0.000 1.033
Tb 4.402 0.000 6.174
Tb 6.025 0.000 2.397
Tb 7.779 0.000 5.484
Cu 3.569 1.252 3.603
Cu 3.569 -1.252 3.603
Ni 5.088 1.243 0.000
Ni 5.088 -1.243 0.000
```

Entry 9:
Below is LaSmZn2 after structural relaxation, with properties calculated at the GGA-PBE level.

Calculated values
- Electronic total energy: -3.36 eV per atom
- M_tot: 0.0 μB per formula unit
- Fermi-level density of states: 5.43 states/eV/cell

```
4
Lattice="3.695 0.000 0.000 0.000 3.695 0.000 0.000 0.000 7.439" Properties=species:S:1:pos:R:3 pbc="T T T"
La 0.000 0.000 0.000
Sm 0.000 0.000 3.720
Zn 1.847 1.847 1.980
Zn 1.847 1.847 5.459
```

Entry 10:
Below is Ba2SrMn after structural relaxation, with properties calculated at the GGA-PBE level.

Calculated values
- E above lowest polymorph: 0.0 meV/atom
- Electronic total energy: -3.35 eV per atom
- M_tot: 3.5 μB per formula unit
- Fermi-level density of states: 4.98 states/eV/cell

```
4
Lattice="4.205 0.000 0.000 0.000 4.205 0.000 0.000 0.000 10.396" Properties=species:S:1:pos:R:3 pbc="T T T"
Ba 0.000 0.000 1.957
Ba 0.000 0.000 8.439
Sr 2.103 2.103 5.198
Mn 2.103 2.103 0.000
```

Entry 11:
Below is Sr2Be3AlPt4 after structural relaxation, with properties calculated at the GGA-PBE level.

Calculated values
- Electronic total energy: -5.00 eV per atom
- M_tot: 0.0 μB per formula unit
- Fermi-level density of states: 4.62 states/eV/cell

```
10
Lattice="4.125 0.000 0.000 0.000 4.125 0.000 0.000 0.000 10.256" Properties=species:S:1:pos:R:3 pbc="T T T"
Sr 0.000 2.063 2.480
Sr 2.063 0.000 7.776
Be 0.000 2.063 9.107
Be 2.063 0.000 1.149
Be 2.063 2.063 5.128
Al 0.000 0.000 5.128
Pt 0.000 0.000 0.000
Pt 0.000 2.063 6.510
Pt 2.063 0.000 3.745
Pt 2.063 2.063 0.000
```

Entry 12:
Below is BaCdNi2 after structural relaxation, with properties calculated at the GGA-PBE level.

Calculated values
- Electronic total energy: -3.30 eV per atom
- M_tot: 0.1 μB per formula unit
- Fermi-level density of states: 3.84 states/eV/cell

```
4
Lattice="-1.643 2.525 5.106 1.643 -2.525 5.106 1.643 2.525 -5.106" Properties=species:S:1:pos:R:3 pbc="T T T"
Ba 0.000 0.000 0.000
Cd 1.643 0.000 3.021
Ni 0.000 0.000 5.408
Ni 0.000 2.525 2.093
```